1.
## CaCI3 (PBE-GGA)

Data for a relaxed CaCI3 crystal.

The space group is Pm-3m (No. 221) and the conventional cell measures 5.1969, 5.1969 and 5.1969 Å, with angles of 90.00, 90.00 and 90.00 degrees. Symmetry generates all atoms from Ca at (0.0000, 0.0000, 0.0000), C at (0.5000, 0.5000, 0.5000) and I at (0.0000, 0.5000, 0.5000).

The value obtained for the distance to the lowest polymorph of the same formula is 0 meV/atom. Its formation energy from raw total energies is 1.67 eV/f.u. The total energy is -14.209 eV for the cell shown. For the theoretical density, the calculation gives 5.1 g/cm³.

---

2.
## CaCI (PBE-GGA)

Data for a relaxed CaCI crystal.

The space group is P2_1/c (No. 14) and the conventional cell measures 7.2190, 6.0186 and 8.1754 Å, with angles of 90.00, 109.18 and 90.00 degrees. Symmetry generates all atoms from Ca at (0.2264, 0.2362, 0.2815), C at (0.0391, 0.0720, 0.9653) and I at (0.4039, 0.7487, 0.3547).

Its formation energy from raw total energies is -1.72 eV/f.u. The total energy is -57.972 eV for the cell shown. For the theoretical density, the calculation gives 3.5 g/cm³.

---

3.
## Ca2CI (PBE-GGA)

Data for a relaxed Ca2CI crystal.

The space group is Pm (No. 6) and the conventional cell measures 7.3951, 3.9558 and 7.8891 Å, with angles of 90.00, 105.14 and 90.00 degrees. Symmetry generates all atoms from Ca at (0.0000, 0.0000, 0.0000), Ca at (0.1626, 0.0000, 0.6486), Ca at (0.4928, 0.5000, 0.0272), Ca at (0.6689, 0.5000, 0.6293), C at (0.1726, 0.5000, 0.8683), C at (0.9958, 0.5000, 0.7727), I at (0.2455, 0.5000, 0.3332) and I at (0.7532, 0.0000, 0.3276).

Its formation energy from raw total energies is -2.27 eV/f.u. The total energy is -34.087 eV for the cell shown. For the theoretical density, the calculation gives 3.3 g/cm³.

---

4.
## CaC2I (PBE-GGA)

Data for a relaxed CaC2I crystal.

The space group is Fm-3m (No. 225) and the conventional cell measures 6.4120, 6.4120 and 6.4120 Å, with angles of 90.00, 90.00 and 90.00 degrees. Symmetry generates all atoms from Ca at (0.0000, 0.0000, 0.0000), C at (0.2500, 0.2500, 0.2500) and I at (0.0000, 0.0000, 0.5000).

The value obtained for the distance to the lowest polymorph of the same formula is 347 meV/atom. Its formation energy from raw total energies is 8.31 eV/f.u. The total energy is -54.744 eV for the cell shown. For the theoretical density, the calculation gives 4.8 g/cm³.

---

5.
## Ca3CI (PBE-GGA)

Data for a relaxed Ca3CI crystal.

The space group is Pm-3m (No. 221) and the conventional cell measures 5.1247, 5.1247 and 5.1247 Å, with angles of 90.00, 90.00 and 90.00 degrees. Symmetry generates all atoms from Ca at (0.0000, 0.0000, 0.5000), C at (0.0000, 0.0000, 0.0000) and I at (0.5000, 0.5000, 0.5000).

The value obtained for the distance to the lowest polymorph of the same formula is 0 meV/atom. Its formation energy from raw total energies is -1.17 eV/f.u. The total energy is -17.951 eV for the cell shown. For the theoretical density, the calculation gives 3.2 g/cm³.

---

6.
## Ca2CI (PBE-GGA)

Data for a relaxed Ca2CI crystal.

The space group is Pmm2 (No. 25) and the conventional cell measures 3.9594, 6.2679 and 8.8432 Å, with angles of 90.00, 90.00 and 90.00 degrees. Symmetry generates all atoms from Ca at (0.0000, 0.0000, 0.0000), Ca at (0.0000, 0.0000, 0.3646), Ca at (0.5000, 0.5000, 0.1740), Ca at (0.5000, 0.5000, 0.7717), C at (0.5000, 0.1064, 0.1848), I at (0.0000, 0.5000, 0.4742) and I at (0.5000, 0.0000, 0.6824).

Its formation energy from raw total energies is -2.20 eV/f.u. The total energy is -33.950 eV for the cell shown. For the theoretical density, the calculation gives 3.3 g/cm³.

---

7.
## Ca2CI (PBE-GGA)

Data for a relaxed Ca2CI crystal.

The space group is P2/m (No. 10) and the conventional cell measures 7.4249, 3.9587 and 8.0696 Å, with angles of 90.00, 111.22 and 90.00 degrees. Symmetry generates all atoms from Ca at (0.1962, 0.0000, 0.1795), Ca at (0.2809, 0.5000, 0.8030), C at (0.0548, 0.5000, 0.9505), I at (0.0000, 0.0000, 0.5000) and I at (0.5000, 0.5000, 0.5000).

Its formation energy from raw total energies is -2.34 eV/f.u. The total energy is -34.233 eV for the cell shown. For the theoretical density, the calculation gives 3.3 g/cm³.

---

8.
## Ca2CI (PBE-GGA)

Data for a relaxed Ca2CI crystal.

The space group is P-1 (No. 2) and the conventional cell measures 4.1978, 7.0665 and 7.8120 Å, with angles of 99.73, 102.12 and 93.36 degrees. Symmetry generates all atoms from Ca at (0.1060, 0.3355, 0.1819), Ca at (0.3633, 0.1324, 0.8111), C at (0.1337, 0.9732, 0.0487) and I at (0.2546, 0.7454, 0.5021).

Its formation energy from raw total energies is -2.33 eV/f.u. The total energy is -34.221 eV for the cell shown. For the theoretical density, the calculation gives 3.3 g/cm³.